# 1
A relaxed structure of InTe2Mo, computed with PBE.

a = 3.5132 Å, b = 3.5132 Å, c = 7.8997 Å
α = 90.00°, β = 90.00°, γ = 90.00°
Fractional coordinates of all 4 atoms:
In (0.0000, 0.0000, 0.0000)
Te (0.0000, 0.0000, 0.3889)
Te (0.5000, 0.5000, 0.7834)
Mo (0.5000, 0.5000, 0.1974)

DOS at the Fermi energy	0.667	states/eV per atom

# 2
A relaxed structure of InTe2Mo, computed with PBE.

a = 11.9424 Å, b = 11.9424 Å, c = 11.9424 Å
α = 15.24°, β = 15.24°, γ = 15.24°
Fractional coordinates of all 4 atoms:
In (0.0000, 0.0000, 0.0000)
Te (0.4236, 0.4236, 0.4236)
Te (0.5764, 0.5764, 0.5764)
Mo (0.5000, 0.5000, 0.5000)

DOS at the Fermi energy	1.095	states/eV per atom

# 3
A relaxed structure of InTe2Mo, computed with PBE.

a = 5.2416 Å, b = 5.2416 Å, c = 3.5388 Å
α = 90.00°, β = 90.00°, γ = 90.00°
Fractional coordinates of all 4 atoms:
In (0.0000, 0.0000, 0.0000)
Te (0.0000, 0.5000, 0.5000)
Te (0.5000, 0.0000, 0.5000)
Mo (0.5000, 0.5000, 0.0000)

DOS at the Fermi energy	0.676	states/eV per atom

# 4
A relaxed structure of InTeMo2, computed with PBE.

a = 3.9499 Å, b = 4.7195 Å, c = 4.9211 Å
α = 90.00°, β = 94.20°, γ = 90.00°
Fractional coordinates of all 4 atoms:
In (0.0000, 0.0000, 0.0000)
Te (0.5000, 0.0000, 0.5000)
Mo (0.3313, 0.5000, 0.1736)
Mo (0.6687, 0.5000, 0.8264)

DOS at the Fermi energy	0.607	states/eV per atom

no.,formation energy from raw total energies (eV per atom)
1,0.20
2,0.62
3,0.54
4,0.50